# NaPrHgRh, optimized geometry, DFT PBE
data_NaPrHgRh
_space_group_name_H-M_alt 'F -4 3 m'
_space_group_IT_number 216
_space_group_name_Hall 'F -4 2 3'
_cell_length_a 7.203
_cell_length_b 7.203
_cell_length_c 7.203
_cell_angle_alpha 90.00
_cell_angle_beta 90.00
_cell_angle_gamma 90.00
loop_
_atom_site_label
_atom_site_type_symbol
_atom_site_fract_x
_atom_site_fract_y
_atom_site_fract_z
_atom_site_occupancy
Na1 Na 0.000 0.000 0.000 1
Pr1 Pr 0.000 0.000 0.500 1
Hg1 Hg 0.250 0.250 0.250 1
Rh1 Rh 0.250 0.250 0.750 1
# Total DFT energy (no corrections), eV/cell: -58.10
# ΔE_f, eV per atom: -0.194